# 1
ZrCr2HgAu | PBE-GGA | optimized geometry

extended XYZ file:
```
5
Lattice="4.935 0.000 0.000 0.000 4.935 0.000 0.000 0.000 5.190" Properties=species:S:1:pos:R:3 pbc="T T T"
Zr 0.000 0.000 0.000
Cr 0.000 2.467 0.000
Cr 2.467 0.000 0.000
Hg 2.467 2.467 2.595
Au 0.000 0.000 2.595
```

## Properties
DFT formation energy, meV/atom: 1333
Space group: P4/mmm, No. 123

***

# 2
CrAuI | PBE-GGA | optimized geometry

extended XYZ file:
```
12
Lattice="12.456 0.000 0.000 0.000 3.775 0.000 0.000 0.000 6.743" Properties=species:S:1:pos:R:3 pbc="T T T"
Cr 0.000 0.000 0.000
Cr 0.000 1.887 3.372
Cr 6.228 0.000 0.308
Cr 6.228 1.887 3.680
Au 1.589 0.000 2.182
Au 1.589 1.887 5.554
Au 10.867 0.000 2.182
Au 10.867 1.887 5.554
I 4.317 0.000 4.042
I 4.317 1.887 0.670
I 8.139 0.000 4.042
I 8.139 1.887 0.670
```

## Properties
Space group: Amm2, No. 38
Formation energy (no corrections), eV/atom: 0.309

***

Number 1: density 7.79 g/cm3. Number 2: density 7.87 g/cm3.